First-principles (PBE-GGA) data for a relaxed Co2CuTc crystal, as listed in Alexandria via LeMat-Bulk.

Its energy above the lowest structure with this stoichiometry is 0.0 meV per atom. The value obtained for the energy of formation from the pure elements is 126 meV per atom. Its density is 9.76 Mg/m³.

It has space group P4/mmm (No. 123), with a = 2.619 Å, b = 2.619 Å, c = 6.930 Å, α = 90.00°, β = 90.00° and γ = 90.00°. The distinct sites, in fractional coordinates, are Co at (0.000, 0.000, 0.249), Cu at (0.500, 0.500, 0.000) and Tc at (0.500, 0.500, 0.500).

---

First-principles (PBE-GGA) data for a relaxed AlV2Mo3 crystal, as listed in Alexandria via LeMat-Bulk.

The value obtained for the energy of formation from the pure elements is -134 meV per atom. Its density is 7.73 Mg/m³.

It has space group C2/m (No. 12), with a = 13.057 Å, b = 4.409 Å, c = 7.545 Å, α = 90.00°, β = 124.45° and γ = 90.00°. The distinct sites, in fractional coordinates, are Al at (0.126, 0.000, 0.137), V at (0.037, 0.500, 0.209), V at (0.212, 0.000, 0.556), Mo at (0.037, 0.000, 0.708), Mo at (0.125, 0.500, 0.620) and Mo at (0.208, 0.500, 0.038).

---

First-principles (PBE-GGA) data for a relaxed Tb12Ho5Mg crystal, as listed in Alexandria via LeMat-Bulk.

The value obtained for the energy of formation from the pure elements is 20 meV per atom. Its density is 8.14 Mg/m³.

It has space group Cmmm (No. 65), with a = 14.963 Å, b = 14.992 Å, c = 5.015 Å, α = 90.00°, β = 90.00° and γ = 90.00°. The distinct sites, in fractional coordinates, are Tb at (0.165, 0.166, 0.000), Tb at (0.166, 0.500, 0.000), Tb at (0.167, 0.000, 0.500), Tb at (0.167, 0.333, 0.500), Ho at (0.000, 0.168, 0.500), Ho at (0.000, 0.334, 0.000), Ho at (0.000, 0.500, 0.500) and Mg at (0.000, 0.000, 0.000).

---

First-principles (PBE-GGA) data for a relaxed Li3Mo crystal, as listed in Alexandria via LeMat-Bulk.

Its energy above the lowest structure with this stoichiometry is 219.7 meV per atom. The value obtained for the energy of formation from the pure elements is 452 meV per atom. Its density is 3.03 Mg/m³.

It has space group C2/m (No. 12), with a = 9.788 Å, b = 2.463 Å, c = 5.329 Å, α = 90.00°, β = 93.91° and γ = 90.00°. The distinct sites, in fractional coordinates, are Li at (0.000, 0.000, 0.000), Li at (0.248, 0.000, 0.735) and Mo at (0.000, 0.500, 0.500).

---

First-principles (PBE-GGA) data for a relaxed K3HfS4 crystal, as listed in Alexandria via LeMat-Bulk.

The value obtained for the raw formation energy is -1.20 eV/atom. Its density is 3.21 Mg/m³.

It has space group Cmmm (No. 65), with a = 9.178 Å, b = 12.254 Å, c = 3.899 Å, α = 90.00°, β = 90.00° and γ = 90.00°. The distinct sites, in fractional coordinates, are K at (0.000, 0.000, 0.000), K at (0.250, 0.250, 0.500), Hf at (0.000, 0.500, 0.000), S at (0.000, 0.294, 0.000) and S at (0.192, 0.500, 0.500).

---

First-principles (PBE-GGA) data for a relaxed Mg2TiAg crystal, as listed in Alexandria via LeMat-Bulk.

Its energy above the lowest structure with this stoichiometry is 394.5 meV per atom. The value obtained for the energy of formation from the pure elements is 385 meV per atom. Its density is 4.11 Mg/m³.

It has space group I-42d (No. 122), with a = 7.569 Å, b = 7.569 Å, c = 5.758 Å, α = 90.00°, β = 90.00° and γ = 90.00°. The distinct sites, in fractional coordinates, are Mg at (0.224, 0.250, 0.125), Ti at (0.000, 0.000, 0.500) and Ag at (0.000, 0.000, 0.000).

---

First-principles (PBE-GGA) data for a relaxed Mg4NpIn15 crystal, as listed in Alexandria via LeMat-Bulk.

The value obtained for the energy of formation from the pure elements is -15 meV per atom. Its density is 6.83 Mg/m³.

It has space group P4/mmm (No. 123), with a = 4.654 Å, b = 4.654 Å, c = 23.080 Å, α = 90.00°, β = 90.00° and γ = 90.00°. The distinct sites, in fractional coordinates, are Mg at (0.000, 0.000, 0.100), Mg at (0.000, 0.000, 0.302), Np at (0.000, 0.000, 0.500), In at (0.000, 0.500, 0.000), In at (0.000, 0.500, 0.200), In at (0.000, 0.500, 0.399), In at (0.500, 0.500, 0.099), In at (0.500, 0.500, 0.297) and In at (0.500, 0.500, 0.500).

---

First-principles (PBE-GGA) data for a relaxed RbZn6Ag3 crystal, as listed in Alexandria via LeMat-Bulk.

The value obtained for the energy of formation from the pure elements is 90 meV per atom. Its density is 6.72 Mg/m³.

It has space group P2_1/c (No. 14), with a = 6.891 Å, b = 7.238 Å, c = 9.227 Å, α = 90.00°, β = 120.64° and γ = 90.00°. The distinct sites, in fractional coordinates, are Rb at (0.000, 0.000, 0.000), Zn at (0.129, 0.029, 0.675), Zn at (0.229, 0.712, 0.856), Zn at (0.488, 0.706, 0.208), Ag at (0.307, 0.128, 0.476) and Ag at (0.500, 0.000, 0.000).

---

First-principles (PBE-GGA) data for a relaxed La6HoTm8 crystal, as listed in Alexandria via LeMat-Bulk.

The value obtained for the energy of formation from the pure elements is 117 meV per atom. Its density is 7.81 Mg/m³.

It has space group R-3 (No. 148, hexagonal axes), with a = 9.0226 Å, b = 9.0226 Å, c = 21.2623 Å, α = 90.00°, β = 90.00° and γ = 120.00°. The distinct sites, in fractional coordinates, are La at (0.0533, 0.8045, 0.2143), Ho at (0.0000, 0.0000, 0.5000), Tm at (0.0000, 0.0000, 0.0768) and Tm at (0.0804, 0.5083, 0.3054).

---

First-principles (PBE-GGA) data for a relaxed Tb2Co crystal, as listed in Alexandria via LeMat-Bulk.

The value obtained for the energy of formation from the pure elements is -87 meV per atom. Its density is 8.05 Mg/m³.

It has space group C2/m (No. 12), with a = 6.887 Å, b = 3.978 Å, c = 6.121 Å, α = 90.00°, β = 111.98° and γ = 90.00°. The distinct sites, in fractional coordinates, are Tb at (0.247, 0.000, 0.243) and Co at (0.000, 0.500, 0.000).

---

First-principles (PBE-GGA) data for a relaxed Co2PbBr crystal, as listed in Alexandria via LeMat-Bulk.

The value obtained for the raw formation energy is 0.44 eV/atom. Its energy above the lowest structure with this stoichiometry is 175.0 meV per atom. Its density is 7.56 Mg/m³.

It has space group Imm2 (No. 44), with a = 3.342 Å, b = 3.487 Å, c = 15.273 Å, α = 90.00°, β = 90.00° and γ = 90.00°. The distinct sites, in fractional coordinates, are Co at (0.000, 0.000, 0.000), Co at (0.000, 0.500, 0.092), Pb at (0.000, 0.500, 0.687) and Br at (0.000, 0.000, 0.411).

---

First-principles (PBE-GGA) data for a relaxed Ta2CoRh2 crystal, as listed in Alexandria via LeMat-Bulk.

Its energy above the lowest structure with this stoichiometry is 0.0 meV per atom. The value obtained for the energy of formation from the pure elements is -315 meV per atom. Its density is 13.49 Mg/m³.

It has space group Ibam (No. 72), with a = 5.551 Å, b = 11.362 Å, c = 4.891 Å, α = 90.00°, β = 90.00° and γ = 90.00°. The distinct sites, in fractional coordinates, are Ta at (0.184, 0.171, 0.000), Co at (0.000, 0.000, 0.250) and Rh at (0.153, 0.398, 0.000).

---

Number 1: magnetization 0.00 μB per cell. Number 2: magnetization 0.00 μB per cell. Number 3: magnetization 0.00 μB per cell. Number 4: magnetization 1.02 μB per cell. Number 5: magnetization 1.59 μB per cell. Number 6: magnetization 0.00 μB per cell. Number 7: magnetization 4.44 μB per cell. Number 8: magnetization 0.00 μB per cell. Number 9: magnetization 0.00 μB per cell. Number 10: magnetization 0.00 μB per cell. Number 11: magnetization 7.53 μB per cell. Number 12: magnetization 0.00 μB per cell.